[1]
AlBrCl2: relaxed, GGA-PBEsol.

Results
E = -37.3 eV/cell
Distance to the lowest polymorph of the same formula = 666.0 meV per atom
Total magnetization = 0.00 μB/f.u.
E_form (uncorrected) = -612 meV/atom

abc: 3.5762 3.5762 22.4771
angles: 90.00 90.00 120.00
Space group R-3m (No. 166, hexagonal axes)
One atom of each set of equivalent atoms:
Al (0.0000, 0.0000, 0.0000)
Br (0.0000, 0.0000, 0.5000)
Cl (0.0000, 0.0000, 0.2756)

***

[2]
ScHg2: relaxed, GGA-PBEsol.

Results
E = -17.8 eV/cell
Total magnetization = 0.28 μB/f.u.
DFT formation energy = -0.39 eV per atom

abc: 3.293 3.293 11.482
angles: 90.00 90.00 90.00
Space group I4/mmm (No. 139)
One atom of each set of equivalent atoms:
Sc (0.000, 0.000, 0.000)
Hg (0.000, 0.000, 0.337)

***

[3]
Y4PPt: relaxed, GGA-PBEsol.

Results
E = -150.6 eV/cell
Total magnetization = 0.00 μB/f.u.
DFT formation energy = 0.40 eV per atom

abc: 8.249 8.249 8.249
angles: 90.00 90.00 90.00
Space group F-43m (No. 216)
One atom of each set of equivalent atoms:
Y (0.125, 0.125, 0.125)
P (0.000, 0.000, 0.500)
Pt (0.250, 0.250, 0.750)

***

[4]
Ba2Ni: relaxed, GGA-PBEsol.

Results
E = -40.0 eV/cell
Total magnetization = 0.00 μB/f.u.
DFT formation energy = 0.15 eV per atom

abc: 7.462 7.462 7.462
angles: 90.00 90.00 90.00
Space group Fm-3m (No. 225)
One atom of each set of equivalent atoms:
Ba (0.250, 0.250, 0.250)
Ni (0.000, 0.000, 0.000)

***

[5]
Tl2InAg: relaxed, GGA-PBEsol.

Results
E = -33.5 eV/cell
Distance to the lowest polymorph of the same formula = 64.1 meV per atom
Total magnetization = 0.00 μB/f.u.
DFT formation energy = 0.10 eV per atom

abc: 3.3072 3.3072 30.5498
angles: 90.00 90.00 120.00
Space group R-3m (No. 166, hexagonal axes)
One atom of each set of equivalent atoms:
Tl (0.0000, 0.0000, 0.2428)
In (0.0000, 0.0000, 0.0000)
Ag (0.0000, 0.0000, 0.5000)

***

[6]
ScFe2Cl2: relaxed, GGA-PBEsol.

Results
E = -57.7 eV/cell
Total magnetization = 5.00 μB/f.u.
E_form (uncorrected) = -57 meV/atom

abc: 4.106 4.106 9.830
angles: 90.00 90.00 90.00
Space group I4/mmm (No. 139)
One atom of each set of equivalent atoms:
Sc (0.000, 0.000, 0.000)
Fe (0.000, 0.000, 0.389)
Cl (0.000, 0.500, 0.250)

***

[7]
HfTiBi2: relaxed, GGA-PBEsol.

Results
E = -109.9 eV/cell
Total magnetization = 0.01 μB/f.u.
DFT formation energy = -0.02 eV per atom

abc: 7.072 7.072 7.072
angles: 90.00 90.00 90.00
Space group Fm-3m (No. 225)
One atom of each set of equivalent atoms:
Hf (0.000, 0.000, 0.000)
Ti (0.000, 0.000, 0.500)
Bi (0.250, 0.250, 0.250)

***

[8]
Co2SiRh: relaxed, GGA-PBEsol.

Results
E = -122.2 eV/cell
Total magnetization = 3.06 μB/f.u.
E_form (uncorrected) = -299 meV/atom

abc: 5.681 5.681 5.681
angles: 90.00 90.00 90.00
Space group F-43m (No. 216)
One atom of each set of equivalent atoms:
Co (0.000, 0.000, 0.000)
Co (0.250, 0.250, 0.250)
Si (0.000, 0.000, 0.500)
Rh (0.250, 0.250, 0.750)

***

[9]
Y3Ni: relaxed, GGA-PBEsol.

Results
E = -54.4 eV/cell
Total magnetization = 0.00 μB/f.u.
DFT formation energy = -0.14 eV per atom

abc: 3.527 5.221 10.754
angles: 90.00 90.00 90.00
Space group Immm (No. 71)
One atom of each set of equivalent atoms:
Y (0.000, 0.000, 0.000)
Y (0.000, 0.500, 0.194)
Ni (0.000, 0.000, 0.500)

***

[10]
Ba2LiTa2: relaxed, GGA-PBEsol.

Results
E = -50.1 eV/cell
Total magnetization = 0.00 μB/f.u.
DFT formation energy = 1.26 eV per atom

abc: 6.462 6.462 8.040
angles: 90.00 90.00 90.00
Space group I4/mmm (No. 139)
One atom of each set of equivalent atoms:
Ba (0.000, 0.500, 0.250)
Li (0.000, 0.000, 0.000)
Ta (0.000, 0.000, 0.362)

***

[11]
CoNi2Rh: relaxed, GGA-PBEsol.

Results
E = -28.0 eV/cell
Distance to the lowest polymorph of the same formula = 8.3 meV per atom
Total magnetization = 3.62 μB/f.u.
DFT formation energy = 0.05 eV per atom

abc: 2.547 3.513 5.055
angles: 90.00 90.00 90.00
Space group Pmm2 (No. 25)
One atom of each set of equivalent atoms:
Co (0.000, 0.000, 0.000)
Ni (0.000, 0.000, 0.477)
Ni (0.500, 0.500, 0.239)
Rh (0.500, 0.500, 0.741)

***

[12]
KSr2Co: relaxed, GGA-PBEsol.

Results
E = -9.5 eV/cell
Distance to the lowest polymorph of the same formula = 178.1 meV per atom
Total magnetization = 0.87 μB/f.u.
DFT formation energy = 0.76 eV per atom

abc: 5.476 5.476 4.644
angles: 90.00 90.00 90.00
Space group P4/mmm (No. 123)
One atom of each set of equivalent atoms:
K (0.000, 0.000, 0.000)
Sr (0.000, 0.500, 0.500)
Co (0.500, 0.500, 0.000)